1.
MgCdNi2As4, relaxed, DFT PBE; space-group type = No. 82; VASP energy = -32.12 eV per formula unit; spin magnetization = 0.00 μB per cell
1.0
-2.8714 2.8714 5.5444
2.8714 -2.8714 5.5444
2.8714 2.8714 -5.5444
Cd As Mg Ni
1 4 1 2
Direct
0.0000 0.0000 0.0000
0.4434 0.3803 0.5700
0.6197 0.1897 0.0631
0.8103 0.8734 0.4300
0.1266 0.5566 0.9369
0.2500 0.7500 0.5000
0.7500 0.2500 0.5000
0.5000 0.5000 0.0000



2.
MgCdAsO, relaxed, DFT PBE; space-group type = No. 26; VASP energy = -15.84 eV per formula unit
1.0
-2.8392 -1.6203 -0.3820
3.1095 -4.2556 -5.0601
1.7272 -4.0873 4.4988
As Mg Cd O
2 2 2 2
Direct
0.0000 0.1677 0.8754
0.0000 0.8323 0.3754
0.5000 0.4137 0.0621
0.5000 0.5863 0.5621
0.0000 0.1831 0.4513
0.0000 0.8169 0.9513
0.5000 0.6155 0.8652
0.5000 0.3845 0.3652



3.
MgCdAsO, relaxed, DFT PBE; space-group type = No. 26; VASP energy = -15.85 eV per formula unit
1.0
-3.0292 0.2554 -0.9192
1.8399 -2.0350 -6.6290
-1.0495 -6.4117 1.6770
Cd O As Mg
2 2 2 2
Direct
0.5000 0.6169 0.5562
0.5000 0.3831 0.0562
0.5000 0.3469 0.3869
0.5000 0.6531 0.8869
0.0000 0.1455 0.8493
0.0000 0.8545 0.3493
0.0000 0.2087 0.4615
0.0000 0.7913 0.9615



4.
MgCdAs2Pb, relaxed, DFT PBE; space-group type = No. 156; VASP energy = -16.85 eV per formula unit
1.0
-3.0327 -3.0495 1.2242
3.4863 -1.2036 -2.5283
3.8768 -1.4350 6.0291
Mg Pb Cd As
1 1 1 2
Direct
0.6667 0.3333 0.3673
0.3333 0.6667 0.0018
0.0000 0.0000 0.6322
0.6667 0.3333 0.7496
0.0000 0.0000 0.2492



5.
MgCdAs4Pd2, relaxed, DFT PBE; space-group type = No. 82; VASP energy = -31.36 eV per formula unit
1.0
-2.9446 2.9446 5.8293
2.9446 -2.9446 5.8293
2.9446 2.9446 -5.8293
As Pd Mg Cd
4 2 1 1
Direct
0.1262 0.5841 0.9632
0.6209 0.1630 0.0368
0.8370 0.8738 0.4579
0.4159 0.3791 0.5421
0.5000 0.5000 0.0000
0.7500 0.2500 0.5000
0.2500 0.7500 0.5000
0.0000 0.0000 0.0000



6.
Rb2MgCdAs2, relaxed, DFT PBE; space-group type = No. 115; VASP energy = -16.94 eV per formula unit
1.0
-1.6075 3.8452 2.0271
-1.0227 -2.4352 3.8083
7.5523 1.5617 3.0268
Mg As Cd Rb
1 2 1 2
Direct
0.5000 0.5000 0.0000
0.5000 0.0000 0.1890
0.0000 0.5000 0.8110
0.0000 0.0000 0.0000
0.0000 0.5000 0.3508
0.5000 0.0000 0.6492



7.
MgCdSn2As4, relaxed, DFT PBE; space-group type = No. 82; VASP energy = -30.89 eV per formula unit
1.0
6.1792 -0.9474 4.0988
3.2155 6.6647 1.0595
-7.0288 -2.3126 1.0619
As Sn Mg Cd
4 2 1 1
Direct
0.6195 0.1234 0.9962
0.8766 0.8728 0.4961
0.1272 0.6232 0.0038
0.3767 0.3805 0.5039
0.7500 0.2500 0.5000
0.5000 0.5000 0.0000
0.2500 0.7500 0.5000
0.0000 0.0000 0.0000



8.
Cd2MoAs, relaxed, DFT PBE; space-group type = No. 216; VASP energy = -15.00 eV per formula unit; spin magnetization = 0.04 μB per cell
1.0
0.8093 -3.9594 -2.4259
-3.3984 -1.8517 -2.6906
0.3693 0.1475 -4.6967
Mo As Cd
1 1 2
Direct
0.2500 0.2500 0.2500
0.5000 0.5000 0.5000
0.0000 0.0000 0.0000
0.7500 0.7500 0.7500



Among the records above, which one has the lowest VASP energy? MgCdNi2As4



Which value of VASP energy does entry 3 give? -15.85 eV per formula unit



Repeat the first record exactly.
MgCdNi2As4, relaxed, DFT PBE; space-group type = No. 82; VASP energy = -32.12 eV per formula unit; spin magnetization = 0.00 μB per cell
1.0
-2.8714 2.8714 5.5444
2.8714 -2.8714 5.5444
2.8714 2.8714 -5.5444
Cd As Mg Ni
1 4 1 2
Direct
0.0000 0.0000 0.0000
0.4434 0.3803 0.5700
0.6197 0.1897 0.0631
0.8103 0.8734 0.4300
0.1266 0.5566 0.9369
0.2500 0.7500 0.5000
0.7500 0.2500 0.5000
0.5000 0.5000 0.0000